Record 1
Computed, not measured: a geometry-optimized Sc3FeF structure at the PBE+U level of DFT.

**Excess energy over the best structure of this formula in the dataset**: 0.00 eV/f.u.
**Space-group type**: Pm-3m
**Crystal system**: cubic
**Calculated volume**: 18.05 Å³ per atom
**DOS(E_F)**: 0.730 states/eV per atom

Cell and atoms, written as POSCAR:
```
Sc3FeF
1.0
-2.059 3.543 1.823
-1.872 0.952 -3.964
-3.518 -2.581 1.042
Fe Sc F
1 3 1
direct
0.500 0.500 0.500
0.000 0.500 0.000
0.500 0.000 0.000
0.000 0.000 0.500
0.000 0.000 0.000
```

---

Record 2
Computed, not measured: a geometry-optimized Li2CdNi3O6 structure at the PBE+U level of DFT.

**E_tot**: -55.92 eV per formula unit
**Space-group type**: C2/m
**Crystal system**: monoclinic
**Calculated volume**: 9.84 Å³ per atom
**DOS(E_F)**: 0.449 states/eV per atom

Cell and atoms, written as POSCAR:
```
Li2CdNi3O6
1.0
3.018 0.000 0.000
0.000 6.169 0.135
-1.509 -1.868 6.298
O Ni Li Cd
6 3 2 1
direct
0.995 0.277 0.990
0.660 0.592 0.321
0.340 0.408 0.679
0.327 0.939 0.654
0.005 0.723 0.010
0.673 0.061 0.346
0.500 0.500 0.000
0.170 0.824 0.340
0.830 0.176 0.660
0.174 0.356 0.347
0.826 0.644 0.653
0.500 0.000 0.000
```

---

Which of these has the lowest DOS(E_F)?
Li2CdNi3O6

---

What is the calculated volume in the first record?
18.05 Å³ per atom

---

Among the records above, which one has the highest calculated volume?
Sc3FeF

---

The highest DOS(E_F) belongs to which entry?
Sc3FeF